[1]
An optimized crystal structure of LiSc2TiS4, computed with PBE.

Calculated values
V ... 16.9 Å³ per atom
Raw formation energy ... -1.66 eV per atom

a = 6.222 Å, b = 3.638 Å, c = 6.352 Å
α = 90.00°, β = 109.41°, γ = 90.00°
Positions (direct):
Li 0.000 0.000 0.000
Sc 0.500 0.000 0.500
Sc 0.500 0.500 0.000
Ti 0.000 0.500 0.500
S 0.241 0.000 0.747
S 0.245 0.500 0.250
S 0.755 0.500 0.750
S 0.759 0.000 0.253


[2]
An optimized crystal structure of LiTmSc2S4, computed with PBE.

Calculated values
V ... 18.5 Å³ per atom
Raw formation energy ... -1.87 eV per atom

a = 6.432 Å, b = 3.725 Å, c = 6.522 Å
α = 90.00°, β = 109.14°, γ = 90.00°
Positions (direct):
Li 0.000 0.000 0.000
Tm 0.500 0.500 0.000
Sc 0.000 0.500 0.500
Sc 0.500 0.000 0.500
S 0.242 0.000 0.744
S 0.248 0.500 0.255
S 0.752 0.500 0.745
S 0.758 0.000 0.256


[3]
An optimized crystal structure of Li2TmSc3S6, computed with PBE.

Calculated values
V ... 18.3 Å³ per atom
Raw formation energy ... -1.85 eV per atom

a = 6.408 Å, b = 6.408 Å, c = 6.520 Å
α = 99.42°, β = 99.42°, γ = 120.01°
Positions (direct):
Li 0.167 0.833 0.000
Li 0.833 0.167 0.000
Tm 0.500 0.500 0.000
Sc 0.000 0.000 0.500
Sc 0.333 0.667 0.500
Sc 0.667 0.333 0.500
S 0.078 0.415 0.745
S 0.248 0.248 0.256
S 0.415 0.078 0.745
S 0.585 0.922 0.255
S 0.752 0.752 0.744
S 0.922 0.585 0.255


[4]
An optimized crystal structure of LiTm3Sc2S6, computed with PBE.

Calculated values
V ... 19.0 Å³ per atom
Raw formation energy ... -1.90 eV per atom

a = 8.426 Å, b = 8.426 Å, c = 7.529 Å
α = 102.33°, β = 102.33°, γ = 25.93°
Positions (direct):
Li 0.000 0.000 0.000
Tm 0.000 0.000 0.500
Tm 0.335 0.335 0.170
Tm 0.665 0.665 0.830
Sc 0.331 0.331 0.655
Sc 0.669 0.669 0.345
S 0.165 0.165 0.090
S 0.168 0.168 0.581
S 0.496 0.496 0.756
S 0.504 0.504 0.244
S 0.832 0.832 0.419
S 0.835 0.835 0.910


[5]
An optimized crystal structure of LiTmSc4S8, computed with PBE.

Calculated values
V ... 22.5 Å³ per atom
Raw formation energy ... -1.86 eV per atom

a = 7.682 Å, b = 7.682 Å, c = 7.682 Å
α = 59.23°, β = 59.23°, γ = 59.23°
Positions (direct):
Li 0.000 0.000 0.000
Tm 0.630 0.630 0.630
Sc 0.109 0.631 0.631
Sc 0.253 0.253 0.253
Sc 0.631 0.109 0.631
Sc 0.631 0.631 0.109
S 0.378 0.378 0.856
S 0.378 0.856 0.378
S 0.384 0.384 0.384
S 0.396 0.875 0.875
S 0.856 0.378 0.378
S 0.868 0.868 0.868
S 0.875 0.396 0.875
S 0.875 0.875 0.396


[6]
An optimized crystal structure of LiTm2ScS4, computed with PBE.

Calculated values
V ... 19.0 Å³ per atom
Raw formation energy ... -1.89 eV per atom

a = 6.486 Å, b = 3.780 Å, c = 6.588 Å
α = 90.00°, β = 109.51°, γ = 90.00°
Positions (direct):
Li 0.000 0.000 0.000
Tm 0.500 0.000 0.500
Tm 0.500 0.500 0.000
Sc 0.000 0.500 0.500
S 0.239 0.000 0.748
S 0.241 0.500 0.247
S 0.759 0.500 0.753
S 0.761 0.000 0.252


What did the sixth record say?
An optimized crystal structure of LiTm2ScS4, computed with PBE.

Calculated values
V ... 19.0 Å³ per atom
Raw formation energy ... -1.89 eV per atom

a = 6.486 Å, b = 3.780 Å, c = 6.588 Å
α = 90.00°, β = 109.51°, γ = 90.00°
Positions (direct):
Li 0.000 0.000 0.000
Tm 0.500 0.000 0.500
Tm 0.500 0.500 0.000
Sc 0.000 0.500 0.500
S 0.239 0.000 0.748
S 0.241 0.500 0.247
S 0.759 0.500 0.753
S 0.761 0.000 0.252